No. 1
MgSc2HgB | GGA-PBE | relaxed

Cell lengths 4.708, 4.708, 4.510 Å; angles 90.00, 90.00, 90.00 degrees
Atoms (fractional coordinates):
Mg1 0.000 0.000 0.000
Sc1 0.000 0.500 0.500
Sc2 0.500 0.000 0.500
Hg1 0.500 0.500 0.000
B1 0.500 0.500 0.500

Calculated values
DOS(E_F) ... 0.65 states/eV per atom
M_tot ... 0.0 μB/f.u.
SG ... P4/mmm, No. 123
Energy relative to the elements ... -28 meV/atom


No. 2
Tb8P3S4N | GGA-PBE | relaxed

Cell lengths 7.878, 7.878, 7.878 Å; angles 59.52, 59.52, 59.52 degrees
Atoms (fractional coordinates):
Tb1 0.248 0.248 0.248
Tb2 0.262 0.733 0.733
Tb3 0.267 0.267 0.738
Tb4 0.267 0.738 0.267
Tb5 0.733 0.262 0.733
Tb6 0.733 0.733 0.262
Tb7 0.738 0.267 0.267
Tb8 0.752 0.752 0.752
P1 0.000 0.000 0.500
P2 0.000 0.500 0.000
P3 0.500 0.000 0.000
S1 0.000 0.000 0.000
S2 0.000 0.500 0.500
S3 0.500 0.000 0.500
S4 0.500 0.500 0.000
N1 0.500 0.500 0.500

Calculated values
DOS(E_F) ... 0.36 states/eV per atom
M_tot ... 0.0 μB/f.u.
SG ... R-3m, No. 166
Raw formation energy ... -1.827 eV per atom


No. 3
NdTm2In | GGA-PBE | relaxed

Cell lengths 3.467, 3.467, 35.571 Å; angles 90.00, 90.00, 120.00 degrees
Atoms (fractional coordinates):
Nd1 0.000 0.000 0.000
Nd2 0.333 0.667 0.667
Nd3 0.667 0.333 0.333
Tm1 0.000 0.000 0.096
Tm2 0.000 0.000 0.904
Tm3 0.333 0.667 0.570
Tm4 0.333 0.667 0.763
Tm5 0.667 0.333 0.237
Tm6 0.667 0.333 0.430
In1 0.000 0.000 0.500
In2 0.333 0.667 0.167
In3 0.667 0.333 0.833

Calculated values
DOS(E_F) ... 1.65 states/eV per atom
M_tot ... 0.0 μB/f.u.
SG ... R-3m, No. 166
Energy relative to the elements ... 57 meV/atom


No. 4
FePOs2 | GGA-PBE | relaxed

Cell lengths 2.823, 4.184, 8.503 Å; angles 90.00, 90.00, 90.00 degrees
Atoms (fractional coordinates):
Fe1 0.000 0.000 0.000
Fe2 0.500 0.500 0.500
P1 0.000 0.500 0.297
P2 0.500 0.000 0.797
Os1 0.000 0.000 0.567
Os2 0.000 0.500 0.787
Os3 0.500 0.000 0.287
Os4 0.500 0.500 0.067

Calculated values
DOS(E_F) ... 0.77 states/eV per atom
M_tot ... 0.4 μB/f.u.
SG ... Imm2, No. 44
Energy relative to the elements ... 29 meV/atom


No. 5
LiPdI | GGA-PBE | relaxed

Cell lengths 7.678, 4.687, 9.124 Å; angles 90.00, 110.12, 90.00 degrees
Atoms (fractional coordinates):
Li1 0.000 0.000 0.000
Li2 0.108 0.500 0.766
Li3 0.500 0.500 0.000
Li4 0.608 0.000 0.766
Pd1 0.341 0.000 0.878
Pd2 0.410 0.500 0.697
Pd3 0.841 0.500 0.878
Pd4 0.910 0.000 0.697
I1 0.161 0.500 0.125
I2 0.194 0.000 0.577
I3 0.661 0.000 0.125
I4 0.694 0.500 0.577

Calculated values
DOS(E_F) ... 0.00 states/eV per atom
M_tot ... 0.0 μB/f.u.
SG ... Cm, No. 8
Raw formation energy ... -0.522 eV per atom


No. 6
Lu3Ni5Se12 | GGA-PBE | relaxed

Cell lengths 13.071, 13.071, 13.071 Å; angles 109.47, 109.47, 109.47 degrees
Atoms (fractional coordinates):
Lu1 0.125 0.250 0.375
Lu2 0.125 0.375 0.750
Lu3 0.250 0.375 0.125
Lu4 0.250 0.875 0.625
Lu5 0.375 0.125 0.250
Lu6 0.375 0.750 0.125
Lu7 0.625 0.250 0.875
Lu8 0.625 0.875 0.750
Lu9 0.750 0.125 0.375
Lu10 0.750 0.625 0.875
Lu11 0.875 0.625 0.250
Lu12 0.875 0.750 0.625
Ni1 0.000 0.000 0.000
Ni2 0.000 0.000 0.500
Ni3 0.000 0.500 0.000
Ni4 0.000 0.500 0.500
Ni5 0.125 0.750 0.875
Ni6 0.125 0.875 0.250
Ni7 0.250 0.125 0.875
Ni8 0.250 0.625 0.375
Ni9 0.375 0.250 0.625
Ni10 0.375 0.625 0.750
Ni11 0.500 0.000 0.000
Ni12 0.500 0.000 0.500
Ni13 0.500 0.500 0.000
Ni14 0.500 0.500 0.500
Ni15 0.625 0.375 0.250
Ni16 0.625 0.750 0.375
Ni17 0.750 0.375 0.625
Ni18 0.750 0.875 0.125
Ni19 0.875 0.125 0.750
Ni20 0.875 0.250 0.125
Se1 0.030 0.205 0.121
Se2 0.030 0.325 0.909
Se3 0.084 0.705 0.675
Se4 0.084 0.879 0.409
Se5 0.091 0.621 0.416
Se6 0.091 0.970 0.675
Se7 0.121 0.030 0.205
Se8 0.121 0.591 0.916
Se9 0.175 0.205 0.584
Se10 0.175 0.470 0.591
Se11 0.205 0.121 0.030
Se12 0.205 0.584 0.175
Se13 0.295 0.325 0.916
Se14 0.295 0.470 0.379
Se15 0.325 0.909 0.030
Se16 0.325 0.916 0.295
Se17 0.379 0.295 0.470
Se18 0.379 0.584 0.909
Se19 0.409 0.084 0.879
Se20 0.409 0.825 0.530
Se21 0.416 0.091 0.621
Se22 0.416 0.825 0.795
Se23 0.470 0.379 0.295
Se24 0.470 0.591 0.175
Se25 0.530 0.409 0.825
Se26 0.530 0.621 0.705
Se27 0.584 0.175 0.205
Se28 0.584 0.909 0.379
Se29 0.591 0.175 0.470
Se30 0.591 0.916 0.121
Se31 0.621 0.416 0.091
Se32 0.621 0.705 0.530
Se33 0.675 0.084 0.705
Se34 0.675 0.091 0.970
Se35 0.705 0.530 0.621
Se36 0.705 0.675 0.084
Se37 0.795 0.416 0.825
Se38 0.795 0.879 0.970
Se39 0.825 0.530 0.409
Se40 0.825 0.795 0.416
Se41 0.879 0.409 0.084
Se42 0.879 0.970 0.795
Se43 0.909 0.030 0.325
Se44 0.909 0.379 0.584
Se45 0.916 0.121 0.591
Se46 0.916 0.295 0.325
Se47 0.970 0.675 0.091
Se48 0.970 0.795 0.879

Calculated values
DOS(E_F) ... 0.88 states/eV per atom
M_tot ... 0.0 μB/f.u.
SG ... Ia-3d, No. 230
Raw formation energy ... -0.707 eV per atom


No. 7
PdIBr4 | GGA-PBE | relaxed

Cell lengths 10.105, 10.105, 6.862 Å; angles 94.09, 94.09, 41.31 degrees
Atoms (fractional coordinates):
Pd1 0.061 0.061 0.218
Pd2 0.939 0.939 0.782
I1 0.298 0.298 0.799
I2 0.702 0.702 0.201
Br1 0.135 0.649 0.558
Br2 0.194 0.194 0.025
Br3 0.236 0.764 0.000
Br4 0.351 0.865 0.442
Br5 0.649 0.135 0.558
Br6 0.764 0.236 0.000
Br7 0.806 0.806 0.975
Br8 0.865 0.351 0.442

Calculated values
DOS(E_F) ... 0.54 states/eV per atom
M_tot ... 0.0 μB/f.u.
SG ... C2/m, No. 12
Raw formation energy ... -0.117 eV per atom


No. 8
ScAs2HSe | GGA-PBE | relaxed

Cell lengths 5.161, 5.161, 5.107 Å; angles 90.00, 90.00, 90.00 degrees
Atoms (fractional coordinates):
Sc1 0.000 0.000 0.000
As1 0.000 0.500 0.000
As2 0.500 0.000 0.000
H1 0.500 0.500 0.500
Se1 0.000 0.000 0.500

Calculated values
DOS(E_F) ... 0.86 states/eV per atom
M_tot ... 0.4 μB/f.u.
SG ... P4/mmm, No. 123
VASP energy ... -19.89 eV per cell


No. 9
SmTh2Rh5Au | GGA-PBE | relaxed

Cell lengths 8.120, 8.120, 8.120 Å; angles 117.90, 117.90, 93.68 degrees
Atoms (fractional coordinates):
Sm1 0.250 0.250 0.000
Sm2 0.750 0.750 0.000
Th1 0.138 0.638 0.777
Th2 0.362 0.138 0.500
Th3 0.638 0.862 0.500
Th4 0.862 0.362 0.223
Rh1 0.000 0.000 0.000
Rh2 0.058 0.172 0.500
Rh3 0.172 0.672 0.114
Rh4 0.328 0.442 0.500
Rh5 0.442 0.942 0.114
Rh6 0.500 0.500 0.000
Rh7 0.558 0.058 0.886
Rh8 0.672 0.558 0.500
Rh9 0.828 0.328 0.886
Rh10 0.942 0.828 0.500
Au1 0.250 0.750 0.500
Au2 0.750 0.250 0.500

Calculated values
DOS(E_F) ... 1.03 states/eV per atom
M_tot ... 0.0 μB/f.u.
SG ... I4/mcm, No. 140
Energy relative to the elements ... -359 meV/atom


No. 10
LiAl2Se | GGA-PBE | relaxed

Cell lengths 5.185, 8.135, 3.498 Å; angles 90.00, 90.00, 90.00 degrees
Atoms (fractional coordinates):
Li1 0.000 0.000 0.000
Li2 0.500 0.500 0.000
Al1 0.250 0.250 0.500
Al2 0.250 0.750 0.500
Al3 0.750 0.250 0.500
Al4 0.750 0.750 0.500
Se1 0.000 0.500 0.000
Se2 0.500 0.000 0.000

Calculated values
DOS(E_F) ... 0.29 states/eV per atom
M_tot ... 0.0 μB/f.u.
SG ... Cmmm, No. 65
Raw formation energy ... -0.171 eV per atom


No. 11
RbLiTmF6 | GGA-PBE | relaxed

Cell lengths 7.110, 7.110, 7.110 Å; angles 116.73, 116.46, 96.01 degrees
Atoms (fractional coordinates):
Rb1 0.333 0.083 0.250
Rb2 0.667 0.917 0.750
Li1 0.000 0.000 0.500
Li2 0.000 0.500 0.000
Tm1 0.000 0.500 0.500
Tm2 0.500 0.500 0.000
F1 0.086 0.360 0.206
F2 0.086 0.880 0.727
F3 0.099 0.349 0.750
F4 0.347 0.120 0.706
F5 0.347 0.640 0.227
F6 0.371 0.621 0.750
F7 0.629 0.379 0.250
F8 0.653 0.360 0.773
F9 0.653 0.880 0.294
F10 0.901 0.651 0.250
F11 0.914 0.120 0.273
F12 0.914 0.640 0.794

Calculated values
DOS(E_F) ... 0.16 states/eV per atom
M_tot ... 1.0 μB/f.u.
SG ... Imma, No. 74
Raw formation energy ... -3.089 eV per atom


No. 12
AcEuMg2 | GGA-PBE | relaxed

Cell lengths 8.156, 8.156, 8.156 Å; angles 90.00, 90.00, 90.00 degrees
Atoms (fractional coordinates):
Ac1 0.000 0.000 0.000
Ac2 0.000 0.500 0.500
Ac3 0.500 0.000 0.500
Ac4 0.500 0.500 0.000
Eu1 0.000 0.000 0.500
Eu2 0.000 0.500 0.000
Eu3 0.500 0.000 0.000
Eu4 0.500 0.500 0.500
Mg1 0.250 0.250 0.250
Mg2 0.250 0.250 0.750
Mg3 0.250 0.750 0.250
Mg4 0.250 0.750 0.750
Mg5 0.750 0.250 0.250
Mg6 0.750 0.250 0.750
Mg7 0.750 0.750 0.250
Mg8 0.750 0.750 0.750

Calculated values
DOS(E_F) ... 1.15 states/eV per atom
M_tot ... 7.4 μB/f.u.
SG ... Fm-3m, No. 225
Energy relative to the elements ... -80 meV/atom


- Which of these has the lowest DOS(E_F)?
  LiPdI


- Look up the M_tot of the tenth one.
  0.0 μB/f.u.